The following is a DFT calculation (GGA-PBE) of a relaxed Nb2CrHg crystal.

The value obtained for the formation energy is 2.971 eV per formula unit. As for the volume: 77 Å³/f.u. The value obtained for the density of states at the Fermi level is 0.901 states/eV per atom.

The space group is I-42d (No. 122) and the conventional cell measures 3.8962, 3.8962 and 20.3538 Å, with angles of 90.00, 90.00 and 90.00 degrees. The distinct sites, in fractional coordinates, are Nb at (0.2410, 0.2500, 0.1250), Cr at (0.0000, 0.0000, 0.0000) and Hg at (0.0000, 0.0000, 0.5000).

---

The following is a DFT calculation (GGA-PBE) of a relaxed LiMnCdGe crystal.

The value obtained for the formation energy is -0.127 eV per formula unit. As for the volume: 65 Å³/f.u. The value obtained for the density of states at the Fermi level is 0.418 states/eV per atom.

The space group is F-43m (No. 216) and the conventional cell measures 6.3884, 6.3884 and 6.3884 Å, with angles of 90.00, 90.00 and 90.00 degrees. The distinct sites, in fractional coordinates, are Li at (0.0000, 0.0000, 0.0000), Mn at (0.0000, 0.0000, 0.5000), Cd at (0.2500, 0.2500, 0.7500) and Ge at (0.2500, 0.2500, 0.2500).

---

The following is a DFT calculation (GGA-PBE) of a relaxed KCo2Cu crystal.

The value obtained for the formation energy is 3.781 eV per formula unit. As for the volume: 90 Å³/f.u. The value obtained for the density of states at the Fermi level is 1.522 states/eV per atom. The value obtained for the polymorph energy (0 for the lowest one) is 417 meV/atom.

The space group is I-42d (No. 122) and the conventional cell measures 4.5948, 4.5948 and 17.0895 Å, with angles of 90.00, 90.00 and 90.00 degrees. The distinct sites, in fractional coordinates, are K at (0.0000, 0.0000, 0.0000), Co at (0.0052, 0.7500, 0.6250) and Cu at (0.0000, 0.0000, 0.5000).

---

The following is a DFT calculation (GGA-PBE) of a relaxed Te3RuN crystal.

As for the volume: 134 Å³/f.u. The uncorrected formation energy is 1.630 eV/atom. The value obtained for the density of states at the Fermi level is 1.986 states/eV per atom.

The space group is Pm-3m (No. 221) and the conventional cell measures 5.1214, 5.1214 and 5.1214 Å, with angles of 90.00, 90.00 and 90.00 degrees. The distinct sites, in fractional coordinates, are Te at (0.0000, 0.0000, 0.5000), Ru at (0.0000, 0.0000, 0.0000) and N at (0.5000, 0.5000, 0.5000).

---

The following is a DFT calculation (GGA-PBE) of a relaxed Ca3MgAg3 crystal.

The value obtained for the formation energy is -1.534 eV per formula unit. As for the volume: 189 Å³/f.u. The value obtained for the density of states at the Fermi level is 0.489 states/eV per atom. The value obtained for the polymorph energy (0 for the lowest one) is 66 meV/atom.

The space group is C2/m (No. 12) and the conventional cell measures 10.8114, 9.8096 and 7.1994 Å, with angles of 90.00, 98.34 and 90.00 degrees. The distinct sites, in fractional coordinates, are Ca at (0.0000, 0.1921, 0.0000), Ca at (0.0000, 0.3003, 0.5000), Ca at (0.1951, 0.5000, 0.9922), Mg at (0.2118, 0.0000, 0.4324), Ag at (0.0586, 0.0000, 0.6957) and Ag at (0.2493, 0.2664, 0.2806).

---

The following is a DFT calculation (GGA-PBE) of a relaxed Li2TaP crystal.

The value obtained for the formation energy is -0.737 eV per formula unit. As for the volume: 65 Å³/f.u. The value obtained for the density of states at the Fermi level is 1.038 states/eV per atom.

The space group is P4mm (No. 99) and the conventional cell measures 3.3203, 3.3203 and 5.8605 Å, with angles of 90.00, 90.00 and 90.00 degrees. The distinct sites, in fractional coordinates, are Li at (0.0000, 0.0000, 0.0000), Li at (0.5000, 0.5000, 0.2382), Ta at (0.5000, 0.5000, 0.7140) and P at (0.0000, 0.0000, 0.5530).

---

The following is a DFT calculation (GGA-PBE) of a relaxed YZnCu crystal.

The value obtained for the formation energy is -0.548 eV per formula unit. As for the volume: 59 Å³/f.u. The value obtained for the density of states at the Fermi level is 0.630 states/eV per atom.

The space group is P1 (No. 1) and the conventional cell measures 4.2969, 4.5209 and 6.8767 Å, with angles of 71.00, 83.78 and 70.40 degrees. The distinct sites, in fractional coordinates, are Y at (0.0000, 0.0000, 0.0000), Y at (0.9999, 0.2663, 0.4665), Zn at (0.3286, 0.4698, 0.7349), Zn at (0.6713, 0.7964, 0.7316), Cu at (0.4993, 0.4233, 0.1544) and Cu at (0.5018, 0.8445, 0.3125).

---

The following is a DFT calculation (GGA-PBE) of a relaxed Rb2GaBW crystal.

The value obtained for the formation energy is 8.015 eV per formula unit. As for the volume: 181 Å³/f.u. The value obtained for the density of states at the Fermi level is 0.403 states/eV per atom. The value obtained for the polymorph energy (0 for the lowest one) is 50 meV/atom.

The space group is P4/mmm (No. 123) and the conventional cell measures 6.8998, 6.8998 and 3.7979 Å, with angles of 90.00, 90.00 and 90.00 degrees. The distinct sites, in fractional coordinates, are Rb at (0.0000, 0.5000, 0.0000), Ga at (0.0000, 0.0000, 0.0000), B at (0.0000, 0.0000, 0.5000) and W at (0.5000, 0.5000, 0.5000).

---

The following is a DFT calculation (GGA-PBE) of a relaxed Ac3Ga4Si4 crystal.

As for the volume: 253 Å³/f.u. The uncorrected formation energy is -0.471 eV/atom. The value obtained for the density of states at the Fermi level is 0.406 states/eV per atom.

The space group is P-1 (No. 2) and the conventional cell measures 4.3786, 4.7017 and 12.7037 Å, with angles of 100.35, 99.83 and 90.02 degrees. The distinct sites, in fractional coordinates, are Ac at (0.0000, 0.0000, 0.0000), Ac at (0.3561, 0.8594, 0.7106), Ga at (0.0981, 0.5821, 0.1963), Ga at (0.2488, 0.2501, 0.4971), Si at (0.1993, 0.7004, 0.3986) and Si at (0.4517, 0.4391, 0.9031).

---

The following is a DFT calculation (GGA-PBE) of a relaxed RbNa3Hg2 crystal.

The value obtained for the formation energy is -0.989 eV per formula unit. As for the volume: 214 Å³/f.u. The value obtained for the density of states at the Fermi level is 0.492 states/eV per atom.

The space group is P6/mmm (No. 191) and the conventional cell measures 11.9313, 11.9313 and 5.2012 Å, with angles of 90.00, 90.00 and 120.00 degrees. The distinct sites, in fractional coordinates, are Rb at (0.0000, 0.0000, 0.0000), Rb at (0.3333, 0.6667, 0.5000), Na at (0.0000, 0.2986, 0.5000), Na at (0.0000, 0.5000, 0.0000) and Hg at (0.1870, 0.3739, 0.0000).

---

The following is a DFT calculation (GGA-PBE) of a relaxed Rb2USe2Cl4 crystal.

As for the volume: 308 Å³/f.u. The uncorrected formation energy is -1.516 eV/atom.

The space group is C2/m (No. 12) and the conventional cell measures 13.0847, 7.5024 and 7.3399 Å, with angles of 90.00, 121.35 and 90.00 degrees. The distinct sites, in fractional coordinates, are Rb at (0.2402, 0.0000, 0.2270), U at (0.0000, 0.5000, 0.0000), Se at (0.2264, 0.5000, 0.2531) and Cl at (0.0206, 0.2551, 0.7737).

---

The following is a DFT calculation (GGA-PBE) of a relaxed Ga2RhAu crystal.

The value obtained for the formation energy is -1.050 eV per formula unit. As for the volume: 62 Å³/f.u. The value obtained for the density of states at the Fermi level is 0.569 states/eV per atom. The value obtained for the polymorph energy (0 for the lowest one) is 77 meV/atom.

The space group is Fm-3m (No. 225) and the conventional cell measures 6.2921, 6.2921 and 6.2921 Å, with angles of 90.00, 90.00 and 90.00 degrees. The distinct sites, in fractional coordinates, are Ga at (0.2500, 0.2500, 0.2500), Rh at (0.0000, 0.0000, 0.0000) and Au at (0.0000, 0.0000, 0.5000).

---

The following is a DFT calculation (GGA-PBE) of a relaxed CaNb2AlTe crystal.

As for the volume: 143 Å³/f.u. The uncorrected formation energy is 0.967 eV/atom. The value obtained for the density of states at the Fermi level is 0.788 states/eV per atom.

The space group is P4/mmm (No. 123) and the conventional cell measures 5.1019, 5.1019 and 5.5038 Å, with angles of 90.00, 90.00 and 90.00 degrees. The distinct sites, in fractional coordinates, are Ca at (0.0000, 0.0000, 0.0000), Nb at (0.0000, 0.5000, 0.5000), Al at (0.5000, 0.5000, 0.0000) and Te at (0.0000, 0.0000, 0.5000).